{
  "formula": "AlMo2PtF",
  "functional": "GGA+U",
  "state": "optimized geometry",
  "cell": [[5.274, 0.000, 0.000], [0.000, 5.274, 0.000], [0.000, 0.000, 4.475]],
  "species": ["Al", "Mo", "Mo", "Pt", "F"],
  "fractional_positions": [[0.000, 0.000, 0.000], [0.000, 0.500, 0.000], [0.500, 0.000, 0.000], [0.000, 0.000, 0.500], [0.500, 0.500, 0.500]],
  "energy_ev_per_atom": -4.32
}